Entry P
First-principles (GGA-PBE) data for crystalline TaZnFeGe at its relaxed geometry, as listed in OQMD.

## Properties
Magnetization, μB per cell: 0.78
ρ, kg/m³: 10825
Space group: No. 216

Lattice parameters (Å, degrees): 4.332 4.332 4.332 60.00 60.00 60.00
Element x y z (fractional)
Ta (0.000, 0.000, 0.000)
Zn (0.250, 0.250, 0.250)
Fe (0.750, 0.750, 0.750)
Ge (0.500, 0.500, 0.500)

Entry Q
First-principles (GGA-PBE) data for crystalline TaZnFeGe at its relaxed geometry, as listed in OQMD.

## Properties
Magnetization, μB per cell: 1.80
ρ, kg/m³: 10631
Space group: No. 216

Lattice parameters (Å, degrees): 4.359 4.359 4.359 60.00 60.00 60.00
Element x y z (fractional)
Ta (0.000, 0.000, 0.000)
Zn (0.750, 0.750, 0.750)
Fe (0.500, 0.500, 0.500)
Ge (0.250, 0.250, 0.250)

Stability summary: most stable entry P, least stable entry Q.

Entry P
First-principles (GGA-PBE) data for crystalline ZnFeTcGe at its relaxed geometry, as listed in OQMD.

## Properties
Magnetization, μB per cell: 2.54
ρ, kg/m³: 8912
Space group: No. 216

Lattice parameters (Å, degrees): 4.253 4.253 4.253 60.00 60.00 60.00
Element x y z (fractional)
Zn (0.000, 0.000, 0.000)
Fe (0.500, 0.500, 0.500)
Tc (0.750, 0.750, 0.750)
Ge (0.250, 0.250, 0.250)

Entry Q
First-principles (GGA-PBE) data for crystalline ZnFeTcGe at its relaxed geometry, as listed in OQMD.

## Properties
Magnetization, μB per cell: 2.07
ρ, kg/m³: 9056
Space group: No. 216

Lattice parameters (Å, degrees): 4.230 4.230 4.230 60.00 60.00 60.00
Element x y z (fractional)
Zn (0.000, 0.000, 0.000)
Fe (0.750, 0.750, 0.750)
Tc (0.250, 0.250, 0.250)
Ge (0.500, 0.500, 0.500)

Stability summary: most stable entry Q, least stable entry P.